1.
Below is a geometry-optimized Ba3Zr structure, with properties calculated at the PBE-GGA level.

Geometry as POSCAR:
```
Ba3Zr
1.0
7.021 -0.001 0.007
5.895 3.813 0.007
1.672 0.493 6.721
Ba Zr
3 1
Direct
0.500 0.500 0.500
0.723 0.723 0.779
0.277 0.277 0.221
0.000 0.000 0.000
```

Summary:
The formation energy is 2.1 eV/f.u. The calculation puts the density of states at the Fermi level at 1.60 states/eV/atom. The calculation puts the volume at 179.9 Å³ per cell. The calculated total energy comes out at -3.044 eV per atom. The value obtained for the offset from the most stable computed form is 193 meV per atom. For the magnetization, the calculation gives 0.03 μB per formula unit.

***

2.
Below is a geometry-optimized BaZr structure, with properties calculated at the PBE-GGA level.

Geometry as POSCAR:
```
BaZr
1.0
-4.849 -6.262 -6.665
4.509 -0.874 -2.459
2.030 -8.900 6.883
Ba Zr
8 8
Direct
0.142 0.250 0.251
0.642 0.250 0.249
0.858 0.750 0.749
0.358 0.750 0.751
0.095 0.250 0.876
0.595 0.250 0.624
0.905 0.750 0.124
0.405 0.750 0.376
0.927 0.250 0.516
0.427 0.250 0.984
0.073 0.750 0.484
0.573 0.750 0.016
0.701 0.250 0.943
0.201 0.250 0.557
0.299 0.750 0.057
0.799 0.750 0.443
```

Summary:
The formation energy is 1.0 eV/f.u. The calculation puts the density of states at the Fermi level at 1.31 states/eV/atom. The calculation puts the volume at 616.5 Å³ per cell. The calculated total energy comes out at -4.755 eV per atom. The value obtained for the offset from the most stable computed form is 135 meV per atom. For the magnetization, the calculation gives 0.00 μB per formula unit.

***

3.
Below is a geometry-optimized BaZr structure, with properties calculated at the PBE-GGA level.

Geometry as POSCAR:
```
BaZr
1.0
10.713 0.000 0.000
0.000 17.522 0.000
0.000 0.000 6.578
Ba Zr
16 16
Direct
0.335 0.000 0.000
0.665 0.000 0.000
0.915 0.750 0.250
0.585 0.750 0.250
0.335 0.500 0.500
0.665 0.500 0.500
0.915 0.250 0.750
0.585 0.250 0.750
0.835 0.000 0.500
0.165 0.000 0.500
0.415 0.750 0.750
0.085 0.750 0.750
0.835 0.500 0.000
0.165 0.500 0.000
0.415 0.250 0.250
0.085 0.250 0.250
0.000 0.927 0.000
0.000 0.073 0.000
0.250 0.823 0.250
0.250 0.677 0.250
0.000 0.427 0.500
0.000 0.573 0.500
0.250 0.323 0.750
0.250 0.177 0.750
0.500 0.927 0.500
0.500 0.073 0.500
0.750 0.823 0.750
0.750 0.677 0.750
0.500 0.427 0.000
0.500 0.573 0.000
0.750 0.323 0.250
0.750 0.177 0.250
```

Summary:
The formation energy is 1.5 eV/f.u. The calculation puts the density of states at the Fermi level at 2.02 states/eV/atom. The calculation puts the volume at 1234.9 Å³ per cell. The calculated total energy comes out at -4.495 eV per atom. The value obtained for the offset from the most stable computed form is 394 meV per atom. For the magnetization, the calculation gives 0.15 μB per formula unit.

***

4.
Below is a geometry-optimized BaZr structure, with properties calculated at the PBE-GGA level.

Geometry as POSCAR:
```
BaZr
1.0
9.996 -0.021 0.000
-9.328 3.591 0.000
0.000 0.000 4.243
Ba Zr
2 2
Direct
0.593 0.407 0.750
0.407 0.593 0.250
0.780 0.220 0.750
0.220 0.780 0.250
```

Summary:
The formation energy is 0.8 eV/f.u. The calculation puts the density of states at the Fermi level at 1.09 states/eV/atom. The calculation puts the volume at 151.5 Å³ per cell. The calculated total energy comes out at -4.856 eV per atom. The value obtained for the offset from the most stable computed form is 33 meV per atom. For the magnetization, the calculation gives 0.00 μB per formula unit.

***

5.
Below is a geometry-optimized BaZr structure, with properties calculated at the PBE-GGA level.

Geometry as POSCAR:
```
BaZr
1.0
-3.378 4.213 -2.760
2.357 -4.576 -3.207
-5.542 -3.676 1.172
Ba Zr
2 2
Direct
0.333 0.667 0.750
0.667 0.333 0.250
0.333 0.667 0.250
0.667 0.333 0.750
```

Summary:
The formation energy is 3.9 eV/f.u. The calculation puts the density of states at the Fermi level at 2.61 states/eV/atom. The calculation puts the volume at 215.1 Å³ per cell. The calculated total energy comes out at -3.295 eV per atom. The value obtained for the offset from the most stable computed form is 1594 meV per atom. For the magnetization, the calculation gives 2.26 μB per formula unit.

***

6.
Below is a geometry-optimized Ba2Zr structure, with properties calculated at the PBE-GGA level.

Geometry as POSCAR:
```
Ba2Zr
1.0
1.986 -6.750 1.184
3.001 -5.991 -2.452
9.882 1.377 3.046
Ba Zr
4 2
Direct
0.973 0.973 0.000
0.400 0.400 0.412
0.631 0.631 0.636
0.690 0.690 0.191
0.883 0.883 0.715
0.257 0.257 0.879
```

Summary:
The formation energy is 1.3 eV/f.u. The calculation puts the density of states at the Fermi level at 1.30 states/eV/atom. The calculation puts the volume at 270.7 Å³ per cell. The calculated total energy comes out at -3.682 eV per atom. The value obtained for the offset from the most stable computed form is 48 meV per atom. For the magnetization, the calculation gives 0.65 μB per formula unit.